Computed, not measured: an optimized crystal structure of TbLuScTl at the PBE level of DFT.

POSCAR file:
```
TbLuScTl
1.0
0.0000 3.7567 3.7567
3.7567 0.0000 3.7567
3.7567 3.7567 0.0000
Tb Lu Sc Tl
1 1 1 1
Cartesian
0.0000 0.0000 0.0000
5.6350 5.6350 5.6350
3.7567 3.7567 3.7567
1.8783 1.8783 1.8783
```

Values from the calculation:
ΔH_f (0 K): -0.0266 eV per atom

=====

Computed, not measured: an optimized crystal structure of Ba3MoSe at the PBE level of DFT.

POSCAR file:
```
Ba3MoSe
1.0
6.2722 0.0000 0.0000
0.0000 6.2722 0.0000
0.0000 0.0000 6.2722
Ba Mo Se
3 1 1
Cartesian
0.0000 0.0000 3.1361
0.0000 3.1361 0.0000
3.1361 0.0000 0.0000
3.1361 3.1361 3.1361
0.0000 0.0000 0.0000
```

Values from the calculation:
Energy relative to the elements, uncorrected: 0.136 eV per atom